(1)
! FeCuOs PBEsol relaxed; values from VASP
! **V**: 12.0 Å³/atom
! **Electronic total energy**: -8.26 eV per atom
&SYSTEM
  ibrav = 0, nat = 3, ntyp = 3
/
ATOMIC_SPECIES
Fe 55.84 Fe.upf
Cu 63.55 Cu.upf
Os 190.23 Os.upf
CELL_PARAMETERS angstrom
-1.3225 1.3225 5.1312
1.3225 -1.3225 5.1312
1.3225 1.3225 -5.1312
ATOMIC_POSITIONS crystal
Fe 0.0000 0.0000 0.0000
Cu 0.3356 0.3356 0.0000
Os 0.6536 0.6536 0.0000



(2)
! K2AgP PBEsol relaxed; values from VASP
! **V**: 31.2 Å³/atom
! **Electronic total energy**: -3.08 eV per atom
&SYSTEM
  ibrav = 0, nat = 4, ntyp = 3
/
ATOMIC_SPECIES
K 39.10 K.upf
Ag 107.87 Ag.upf
P 30.97 P.upf
CELL_PARAMETERS angstrom
4.5086 0.0000 0.0000
0.0000 2.6489 5.2268
0.0000 -2.6489 5.2268
ATOMIC_POSITIONS crystal
K 0.0000 0.0000 0.0000
K 0.5000 0.3035 0.3035
Ag 0.5000 0.6241 0.6241
P 0.0000 0.6859 0.6859



(3)
! TcRh2Cl PBEsol relaxed; values from VASP
! **V**: 14.0 Å³/atom
! **ΔE to the lowest computed polymorph**: 0.0 kJ/mol of formula units
! **Electronic total energy**: -7.07 eV per atom
! **Formation energy from raw total energies**: 321 meV/atom
&SYSTEM
  ibrav = 0, nat = 4, ntyp = 3
/
ATOMIC_SPECIES
Tc 98.00 Tc.upf
Rh 102.91 Rh.upf
Cl 35.45 Cl.upf
CELL_PARAMETERS angstrom
2.7757 0.0000 0.0000
0.0000 2.7757 0.0000
0.0000 0.0000 7.2560
ATOMIC_POSITIONS crystal
Tc 0.0000 0.0000 0.0000
Rh 0.0000 0.0000 0.5036
Rh 0.5000 0.5000 0.7634
Cl 0.5000 0.5000 0.2292



(4)
! Sr2BeP PBEsol relaxed; values from VASP
! **V**: 24.5 Å³/atom
! **Electronic total energy**: -3.56 eV per atom
&SYSTEM
  ibrav = 0, nat = 4, ntyp = 3
/
ATOMIC_SPECIES
Sr 87.62 Sr.upf
Be 9.01 Be.upf
P 30.97 P.upf
CELL_PARAMETERS angstrom
4.9673 0.0000 0.0000
0.0000 4.9673 0.0000
0.0000 0.0000 3.9688
ATOMIC_POSITIONS crystal
Sr 0.0000 0.5000 0.0000
Sr 0.5000 0.0000 0.0000
Be 0.0000 0.0000 0.5000
P 0.5000 0.5000 0.5000



(5)
! NiAs2HBr PBEsol relaxed; values from VASP
! **V**: 20.8 Å³/atom
! **Electronic total energy**: -3.54 eV per atom
&SYSTEM
  ibrav = 0, nat = 5, ntyp = 4
/
ATOMIC_SPECIES
Ni 58.69 Ni.upf
As 74.92 As.upf
H 1.01 H.upf
Br 79.90 Br.upf
CELL_PARAMETERS angstrom
4.4564 0.0000 0.0000
0.0000 4.4564 0.0000
0.0000 0.0000 5.2430
ATOMIC_POSITIONS crystal
Ni 0.0000 0.0000 0.0000
As 0.0000 0.5000 0.0000
As 0.5000 0.0000 0.0000
H 0.5000 0.5000 0.5000
Br 0.0000 0.0000 0.5000



(6)
! CsTiCrNi2 PBEsol relaxed; values from VASP
! **V**: 18.6 Å³/atom
! **Electronic total energy**: -5.26 eV per atom
&SYSTEM
  ibrav = 0, nat = 5, ntyp = 4
/
ATOMIC_SPECIES
Cs 132.91 Cs.upf
Ti 47.87 Ti.upf
Cr 52.00 Cr.upf
Ni 58.69 Ni.upf
CELL_PARAMETERS angstrom
4.6390 0.0000 0.0000
0.0000 4.6390 0.0000
0.0000 0.0000 4.3306
ATOMIC_POSITIONS crystal
Cs 0.0000 0.0000 0.0000
Ti 0.5000 0.5000 0.0000
Cr 0.5000 0.5000 0.5000
Ni 0.0000 0.5000 0.5000
Ni 0.5000 0.0000 0.5000



(7)
! Be2SiAs PBEsol relaxed; values from VASP
! **V**: 12.7 Å³/atom
! **ΔE to the lowest computed polymorph**: 110.0 kJ/mol of formula units
! **Electronic total energy**: -4.25 eV per atom
! **Formation energy from raw total energies**: 459 meV/atom
&SYSTEM
  ibrav = 0, nat = 4, ntyp = 3
/
ATOMIC_SPECIES
Be 9.01 Be.upf
Si 28.09 Si.upf
As 74.92 As.upf
CELL_PARAMETERS angstrom
-1.7092 2.1546 3.4408
1.7092 -2.1546 3.4408
1.7092 2.1546 -3.4408
ATOMIC_POSITIONS crystal
Be 0.2471 0.2471 0.0000
Be 0.7529 0.7529 0.0000
Si 0.0000 0.5000 0.5000
As 0.5000 0.0000 0.5000



(8)
! EuMg PBEsol relaxed; values from VASP
! **V**: 30.8 Å³/atom
! **Electronic total energy**: -6.23 eV per atom
&SYSTEM
  ibrav = 0, nat = 2, ntyp = 2
/
ATOMIC_SPECIES
Eu 151.96 Eu.upf
Mg 24.30 Mg.upf
CELL_PARAMETERS angstrom
3.9484 0.0000 0.0000
0.0000 3.9484 0.0000
0.0000 0.0000 3.9484
ATOMIC_POSITIONS crystal
Eu 0.0000 0.0000 0.0000
Mg 0.5000 0.5000 0.5000